A plane-wave DFT calculation with PBE was carried out for PIBrO2 after structural relaxation.

abc: 3.8780 3.8780 7.8499
angles: 90.00 90.00 90.00
With the nearest neighbours (Å) after each atom.
Sites, in units of the cell vectors:
P 0.0000 0.0000 0.0000  4 I 2.74
I 0.5000 0.5000 0.0000  4 P 2.74
Br 0.5000 0.5000 0.5000  4 O 1.94
O 0.0000 0.5000 0.5000  2 Br 1.94
O 0.5000 0.0000 0.5000  2 Br 1.94

## Properties
offset from the most stable computed form	3.47	eV per formula unit
E_form (uncorrected)	0.771	eV/atom
symmetry	P4/mmm


A plane-wave DFT calculation with PBE was carried out for PIBrO2 after structural relaxation.

abc: 3.9853 3.9853 5.8246
angles: 90.00 90.00 90.00
With the nearest neighbours (Å) after each atom.
Sites, in units of the cell vectors:
P 0.0000 0.0000 0.0000  4 Br 2.82, 2 I 2.91
I 0.0000 0.0000 0.5000  4 O 1.99
Br 0.5000 0.5000 0.0000  4 P 2.82
O 0.0000 0.5000 0.5000  2 I 1.99
O 0.5000 0.0000 0.5000  2 I 1.99

## Properties
offset from the most stable computed form	0.98	eV per formula unit
E_form (uncorrected)	0.273	eV/atom
symmetry	P4/mmm


> Number 1 is which compound?

PIBrO2


> What is the formula in the second record?

PIBrO2